# Li2PrSnAu4, optimized geometry, DFT PBE
# - D(E_F) (states/eV/f.u.) = 3.67
# - M_tot (μB/cell) = 0.0
# - theoretical density (Mg/m³) = 10.6
# - symmetry = No. 166
# - formation enthalpy at 0 K (eV per atom) = -0.544
data_Li2PrSnAu4
_chemical_formula_sum 'Li2 Pr1 Sn1 Au4'
_cell_length_a 9.465
_cell_length_b 9.465
_cell_length_c 9.465
_cell_angle_alpha 28.05
_cell_angle_beta 28.05
_cell_angle_gamma 28.05
_symmetry_space_group_name_H-M 'P 1'
_symmetry_Int_Tables_number 1
loop_
_symmetry_equiv_pos_as_xyz
'x,y,z'
loop_
_atom_site_label
_atom_site_fract_x
_atom_site_fract_y
_atom_site_fract_z
_atom_site_occupancy
Li1 0.237 0.237 0.237 1
Li2 0.763 0.763 0.763 1
Pr1 0.000 0.000 0.000 1
Sn1 0.500 0.500 0.500 1
Au1 0.120 0.120 0.120 1
Au2 0.394 0.394 0.394 1
Au3 0.606 0.606 0.606 1
Au4 0.880 0.880 0.880 1


# InSiGe, optimized geometry, DFT PBE
# - energy relative to the elements, uncorrected (eV per atom) = 0.242
# - D(E_F) (states/eV/f.u.) = 1.07
# - M_tot (μB/cell) = 0.0
# - theoretical density (Mg/m³) = 5.7
# - symmetry = No. 2
# - excess energy over the best structure of this formula in the dataset (meV/atom) = 43
data_InSiGe
_chemical_formula_sum 'In2 Si2 Ge2'
_cell_length_a 5.004
_cell_length_b 5.547
_cell_length_c 5.595
_cell_angle_alpha 71.10
_cell_angle_beta 65.52
_cell_angle_gamma 64.05
_symmetry_space_group_name_H-M 'P 1'
_symmetry_Int_Tables_number 1
loop_
_symmetry_equiv_pos_as_xyz
'x,y,z'
loop_
_atom_site_label
_atom_site_fract_x
_atom_site_fract_y
_atom_site_fract_z
_atom_site_occupancy
In1 0.234 0.169 0.360 1
In2 0.766 0.831 0.640 1
Si1 0.084 0.758 0.082 1
Si2 0.916 0.242 0.918 1
Ge1 0.411 0.407 0.764 1
Ge2 0.589 0.593 0.236 1


# Sm8In2Pd, optimized geometry, DFT PBE
# - D(E_F) (states/eV/f.u.) = 11.64
# - M_tot (μB/cell) = 0.0
# - theoretical density (Mg/m³) = 7.7
# - symmetry = No. 12
# - formation enthalpy at 0 K (eV per atom) = -0.298
data_Sm8In2Pd
_chemical_formula_sum 'Sm8 In2 Pd1'
_cell_length_a 9.910
_cell_length_b 9.910
_cell_length_c 6.881
_cell_angle_alpha 102.30
_cell_angle_beta 102.30
_cell_angle_gamma 30.30
_symmetry_space_group_name_H-M 'P 1'
_symmetry_Int_Tables_number 1
loop_
_symmetry_equiv_pos_as_xyz
'x,y,z'
loop_
_atom_site_label
_atom_site_fract_x
_atom_site_fract_y
_atom_site_fract_z
_atom_site_occupancy
Sm1 0.017 0.017 0.274 1
Sm2 0.209 0.209 0.806 1
Sm3 0.351 0.351 0.518 1
Sm4 0.408 0.408 0.036 1
Sm5 0.592 0.592 0.964 1
Sm6 0.649 0.649 0.482 1
Sm7 0.791 0.791 0.194 1
Sm8 0.983 0.983 0.726 1
In1 0.186 0.186 0.253 1
In2 0.814 0.814 0.747 1
Pd1 0.500 0.500 0.500 1


# LiCrSn2Se, optimized geometry, DFT PBE
# - energy relative to the elements, uncorrected (eV per atom) = 0.810
# - D(E_F) (states/eV/f.u.) = 5.38
# - M_tot (μB/cell) = 0.2
# - theoretical density (Mg/m³) = 4.8
# - symmetry = No. 123
data_LiCrSn2Se
_chemical_formula_sum 'Li1 Cr1 Sn2 Se1'
_cell_length_a 5.514
_cell_length_b 5.514
_cell_length_c 4.272
_cell_angle_alpha 90.00
_cell_angle_beta 90.00
_cell_angle_gamma 90.00
_symmetry_space_group_name_H-M 'P 1'
_symmetry_Int_Tables_number 1
loop_
_symmetry_equiv_pos_as_xyz
'x,y,z'
loop_
_atom_site_label
_atom_site_fract_x
_atom_site_fract_y
_atom_site_fract_z
_atom_site_occupancy
Li1 0.000 0.000 0.000 1
Cr1 0.500 0.500 0.000 1
Sn1 0.000 0.500 0.500 1
Sn2 0.500 0.000 0.500 1
Se1 0.000 0.000 0.500 1


# CsGeB2Cl8, optimized geometry, DFT PBE
# - energy relative to the elements, uncorrected (eV per atom) = -0.906
# - D(E_F) (states/eV/f.u.) = 6.19
# - M_tot (μB/cell) = 1.0
# - theoretical density (Mg/m³) = 2.4
# - symmetry = No. 148
data_CsGeB2Cl8
_chemical_formula_sum 'Cs1 Ge1 B2 Cl8'
_cell_length_a 10.879
_cell_length_b 10.879
_cell_length_c 10.879
_cell_angle_alpha 33.52
_cell_angle_beta 33.52
_cell_angle_gamma 33.52
_symmetry_space_group_name_H-M 'P 1'
_symmetry_Int_Tables_number 1
loop_
_symmetry_equiv_pos_as_xyz
'x,y,z'
loop_
_atom_site_label
_atom_site_fract_x
_atom_site_fract_y
_atom_site_fract_z
_atom_site_occupancy
Cs1 0.000 0.000 0.000 1
Ge1 0.500 0.500 0.500 1
B1 0.250 0.250 0.250 1
B2 0.750 0.750 0.750 1
Cl1 0.041 0.479 0.790 1
Cl2 0.210 0.959 0.521 1
Cl3 0.310 0.310 0.310 1
Cl4 0.479 0.790 0.041 1
Cl5 0.521 0.210 0.959 1
Cl6 0.690 0.690 0.690 1
Cl7 0.790 0.041 0.479 1
Cl8 0.959 0.521 0.210 1


# V4Ni3PdPt12, optimized geometry, DFT PBE
# - D(E_F) (states/eV/f.u.) = 24.60
# - M_tot (μB/cell) = 0.4
# - theoretical density (Mg/m³) = 12.7
# - symmetry = No. 204
# - formation enthalpy at 0 K (eV per atom) = 0.401
data_V4Ni3PdPt12
_chemical_formula_sum 'V4 Ni3 Pd1 Pt12'
_cell_length_a 7.839
_cell_length_b 7.839
_cell_length_c 7.839
_cell_angle_alpha 109.47
_cell_angle_beta 109.47
_cell_angle_gamma 109.47
_symmetry_space_group_name_H-M 'P 1'
_symmetry_Int_Tables_number 1
loop_
_symmetry_equiv_pos_as_xyz
'x,y,z'
loop_
_atom_site_label
_atom_site_fract_x
_atom_site_fract_y
_atom_site_fract_z
_atom_site_occupancy
V1 0.000 0.000 0.500 1
V2 0.000 0.500 0.000 1
V3 0.500 0.000 0.000 1
V4 0.500 0.500 0.500 1
Ni1 0.000 0.500 0.500 1
Ni2 0.500 0.000 0.500 1
Ni3 0.500 0.500 0.000 1
Pd1 0.000 0.000 0.000 1
Pt1 0.124 0.851 0.274 1
Pt2 0.149 0.274 0.423 1
Pt3 0.149 0.726 0.876 1
Pt4 0.274 0.124 0.851 1
Pt5 0.274 0.423 0.149 1
Pt6 0.423 0.149 0.274 1
Pt7 0.577 0.851 0.726 1
Pt8 0.726 0.577 0.851 1
Pt9 0.726 0.876 0.149 1
Pt10 0.851 0.274 0.124 1
Pt11 0.851 0.726 0.577 1
Pt12 0.876 0.149 0.726 1


# IrIO, optimized geometry, DFT PBE
# - energy relative to the elements, uncorrected (eV per atom) = -0.045
# - D(E_F) (states/eV/f.u.) = 0.69
# - M_tot (μB/cell) = 0.0
# - theoretical density (Mg/m³) = 8.8
# - symmetry = No. 14
# - excess energy over the best structure of this formula in the dataset (meV/atom) = 50
data_IrIO
_chemical_formula_sum 'Ir4 I4 O4'
_cell_length_a 6.476
_cell_length_b 6.854
_cell_length_c 6.048
_cell_angle_alpha 90.00
_cell_angle_beta 108.66
_cell_angle_gamma 90.00
_symmetry_space_group_name_H-M 'P 1'
_symmetry_Int_Tables_number 1
loop_
_symmetry_equiv_pos_as_xyz
'x,y,z'
loop_
_atom_site_label
_atom_site_fract_x
_atom_site_fract_y
_atom_site_fract_z
_atom_site_occupancy
Ir1 0.016 0.129 0.231 1
Ir2 0.016 0.371 0.731 1
Ir3 0.984 0.629 0.269 1
Ir4 0.984 0.871 0.769 1
I1 0.279 0.090 0.677 1
I2 0.279 0.410 0.177 1
I3 0.721 0.590 0.823 1
I4 0.721 0.910 0.323 1
O1 0.125 0.634 0.633 1
O2 0.125 0.866 0.133 1
O3 0.875 0.134 0.867 1
O4 0.875 0.366 0.367 1


# BeTlPt, optimized geometry, DFT PBE
# - D(E_F) (states/eV/f.u.) = 1.41
# - M_tot (μB/cell) = 0.0
# - theoretical density (Mg/m³) = 13.2
# - symmetry = No. 216
# - formation enthalpy at 0 K (eV per atom) = 0.044
# - excess energy over the best structure of this formula in the dataset (meV/atom) = 161
data_BeTlPt
_chemical_formula_sum 'Be1 Tl1 Pt1'
_cell_length_a 4.168
_cell_length_b 4.168
_cell_length_c 4.168
_cell_angle_alpha 60.00
_cell_angle_beta 60.00
_cell_angle_gamma 60.00
_symmetry_space_group_name_H-M 'P 1'
_symmetry_Int_Tables_number 1
loop_
_symmetry_equiv_pos_as_xyz
'x,y,z'
loop_
_atom_site_label
_atom_site_fract_x
_atom_site_fract_y
_atom_site_fract_z
_atom_site_occupancy
Be1 0.000 0.000 0.000 1
Tl1 0.750 0.750 0.750 1
Pt1 0.250 0.250 0.250 1


Q: Which formula does entry 5 have?
A: CsGeB2Cl8


Q: Among the records above, which one has the highest theoretical density?
A: BeTlPt


Repeat the first record exactly.
# Li2PrSnAu4, optimized geometry, DFT PBE
# - D(E_F) (states/eV/f.u.) = 3.67
# - M_tot (μB/cell) = 0.0
# - theoretical density (Mg/m³) = 10.6
# - symmetry = No. 166
# - formation enthalpy at 0 K (eV per atom) = -0.544
data_Li2PrSnAu4
_chemical_formula_sum 'Li2 Pr1 Sn1 Au4'
_cell_length_a 9.465
_cell_length_b 9.465
_cell_length_c 9.465
_cell_angle_alpha 28.05
_cell_angle_beta 28.05
_cell_angle_gamma 28.05
_symmetry_space_group_name_H-M 'P 1'
_symmetry_Int_Tables_number 1
loop_
_symmetry_equiv_pos_as_xyz
'x,y,z'
loop_
_atom_site_label
_atom_site_fract_x
_atom_site_fract_y
_atom_site_fract_z
_atom_site_occupancy
Li1 0.237 0.237 0.237 1
Li2 0.763 0.763 0.763 1
Pr1 0.000 0.000 0.000 1
Sn1 0.500 0.500 0.500 1
Au1 0.120 0.120 0.120 1
Au2 0.394 0.394 0.394 1
Au3 0.606 0.606 0.606 1
Au4 0.880 0.880 0.880 1


Q: Look up the D(E_F) of the seventh one.
A: 0.69 states/eV/f.u.